Record 1
TlF | Alexandria via LeMat-Bulk | PBE | optimized geometry; formation energy without anion corrections = -1.71 eV per atom; energy above the lowest structure with this stoichiometry = 50 meV per atom
1.0
4.6893 0.0000 0.0000
-2.3447 4.0611 0.0000
0.0000 0.0000 5.7113
Tl F
2 2
Direct
0.3333 0.6667 0.0000
0.6667 0.3333 0.5000
0.3333 0.6667 0.5040
0.6667 0.3333 0.0040

---

Record 2
Ga6Ni12Sn | Alexandria via LeMat-Bulk | PBE | optimized geometry; ΔH_f (0 K) = -0.10 eV per atom
1.0
5.0715 2.9280 2.7869
-5.0715 2.9280 2.7869
0.0000 -5.8561 2.7869
Ga Ni Sn
6 12 1
Direct
0.0434 0.3248 0.3221
0.3221 0.0434 0.3248
0.3248 0.3221 0.0434
0.6752 0.6779 0.9566
0.6779 0.9566 0.6752
0.9566 0.6752 0.6779
0.0759 0.6872 0.0779
0.0779 0.0759 0.6872
0.2376 0.7610 0.5007
0.2390 0.4993 0.7624
0.3128 0.9221 0.9241
0.4993 0.7624 0.2390
0.5007 0.2376 0.7610
0.6872 0.0779 0.0759
0.7610 0.5007 0.2376
0.7624 0.2390 0.4993
0.9221 0.9241 0.3128
0.9241 0.3128 0.9221
0.5000 0.5000 0.5000

---

Record 3
RbPt3W | Alexandria via LeMat-Bulk | PBE | optimized geometry; ΔH_f (0 K) = 2.91 eV per atom; energy above the lowest structure with this stoichiometry = 2267 meV per atom
1.0
4.9521 0.0000 0.0000
0.0000 4.9521 0.0000
0.0000 0.0000 4.9521
Rb Pt W
1 3 1
Direct
0.0000 0.0000 0.0000
0.0000 0.0000 0.5000
0.0000 0.5000 0.0000
0.5000 0.0000 0.0000
0.5000 0.5000 0.5000

---

Record 4
Tb5Dy2Th3 | Alexandria via LeMat-Bulk | PBE | optimized geometry; ΔH_f (0 K) = 0.04 eV per atom
1.0
5.6190 -2.5214 0.0000
5.6190 2.5214 0.0000
-0.0891 0.0000 11.2934
Tb Dy Th
5 2 3
Direct
0.0000 0.0000 0.0000
0.1996 0.1996 0.5994
0.3009 0.3009 0.8985
0.6991 0.6991 0.1015
0.8004 0.8004 0.4006
0.4024 0.4024 0.2025
0.5976 0.5976 0.7975
0.0985 0.0985 0.3001
0.5000 0.5000 0.5000
0.9015 0.9015 0.6999

---

Record 5
Na2SbBr5 | Alexandria via LeMat-Bulk | PBE | optimized geometry; formation energy without anion corrections = -1.02 eV per atom; energy above the lowest structure with this stoichiometry = 33 meV per atom
1.0
6.2064 -4.0963 0.0000
6.2064 4.0963 0.0000
-3.0919 0.0000 7.5381
Na Sb Br
2 1 5
Direct
0.0000 0.0000 0.0000
0.5291 0.5291 0.5044
0.5534 0.5534 0.0171
0.2721 0.7616 0.7567
0.3285 0.8125 0.2724
0.7616 0.2721 0.7567
0.7752 0.7752 0.1050
0.8125 0.3285 0.2724

---

Record 6
Ba4Ta3AgO12 | Alexandria via LeMat-Bulk | PBE | optimized geometry; formation energy without anion corrections = -2.70 eV per atom
1.0
-4.2223 4.2223 4.2223
4.2223 -4.2223 4.2223
4.2223 4.2223 -4.2223
Ba Ta Ag O
4 3 1 12
Direct
0.0000 0.0000 0.5000
0.0000 0.5000 0.0000
0.5000 0.0000 0.0000
0.5000 0.5000 0.5000
0.0000 0.5000 0.5000
0.5000 0.0000 0.5000
0.5000 0.5000 0.0000
0.0000 0.0000 0.0000
0.0000 0.2753 0.2753
0.0000 0.7247 0.7247
0.2500 0.5000 0.7500
0.2500 0.7500 0.5000
0.2753 0.0000 0.2753
0.2753 0.2753 0.0000
0.5000 0.2500 0.7500
0.5000 0.7500 0.2500
0.7247 0.0000 0.7247
0.7247 0.7247 0.0000
0.7500 0.2500 0.5000
0.7500 0.5000 0.2500

---

Record 7
In2HgSb2 | Alexandria via LeMat-Bulk | PBE | optimized geometry; formation energy without anion corrections = 0.10 eV per atom; energy above the lowest structure with this stoichiometry = 43 meV per atom
1.0
8.3844 0.0000 0.0000
0.0000 8.3844 0.0000
0.0000 0.0000 4.0596
In Hg Sb
4 2 4
Direct
0.1485 0.3515 0.0000
0.3515 0.8515 0.0000
0.6485 0.1485 0.0000
0.8515 0.6485 0.0000
0.0000 0.0000 0.5000
0.5000 0.5000 0.5000
0.1507 0.6507 0.5000
0.3493 0.1507 0.5000
0.6507 0.8493 0.5000
0.8493 0.3493 0.5000

---

Record 8
La2SmEr6Tm3 | Alexandria via LeMat-Bulk | PBE | optimized geometry; ΔH_f (0 K) = 0.03 eV per atom
1.0
3.0818 -5.3350 0.0000
3.0818 5.3350 0.0000
-2.0533 0.0000 11.5610
La Sm Er Tm
2 1 6 3
Direct
0.1666 0.8334 0.0000
0.8334 0.1666 0.0000
0.5000 0.5000 0.0000
0.0812 0.4139 0.7437
0.2537 0.2537 0.2562
0.4139 0.0812 0.7437
0.5861 0.9188 0.2563
0.7463 0.7463 0.7438
0.9188 0.5861 0.2563
0.0000 0.0000 0.5000
0.3335 0.6665 0.5000
0.6665 0.3335 0.5000

---

Record 9
LiZrGaI | Alexandria via LeMat-Bulk | PBE | optimized geometry; formation energy without anion corrections = -0.34 eV per atom; energy above the lowest structure with this stoichiometry = 19 meV per atom
1.0
3.4434 0.0000 0.0000
0.0000 1.9568 7.2309
0.0000 -1.9568 7.2309
Li Zr Ga I
1 1 1 1
Direct
0.0000 0.0000 0.0000
0.0000 0.2118 0.2118
0.5000 0.6385 0.6385
0.5000 0.3829 0.3829

---

Record 10
MgB3As | Alexandria via LeMat-Bulk | PBE | optimized geometry; ΔH_f (0 K) = 2.33 eV per atom; energy above the lowest structure with this stoichiometry = 684 meV per atom
1.0
4.3273 0.0000 0.0000
0.0000 4.3273 0.0000
0.0000 0.0000 4.3273
Mg B As
1 3 1
Direct
0.0000 0.0000 0.0000
0.0000 0.0000 0.5000
0.0000 0.5000 0.0000
0.5000 0.0000 0.0000
0.5000 0.5000 0.5000

---

Record 11
P2PbW | Alexandria via LeMat-Bulk | PBE | optimized geometry; ΔH_f (0 K) = 0.45 eV per atom
1.0
-1.5229 3.0302 4.7365
1.5229 -3.0302 4.7365
1.5229 3.0302 -4.7365
P Pb W
2 1 1
Direct
0.1956 0.1956 0.0000
0.8044 0.8044 0.0000
0.5000 0.0000 0.5000
0.0000 0.5000 0.5000

---

Record 12
TaMoAu | Alexandria via LeMat-Bulk | PBE | optimized geometry; ΔH_f (0 K) = 0.84 eV per atom; energy above the lowest structure with this stoichiometry = 898 meV per atom
1.0
0.0000 3.1219 3.1219
3.1219 0.0000 3.1219
3.1219 3.1219 0.0000
Ta Mo Au
1 1 1
Direct
0.0000 0.0000 0.0000
0.2500 0.2500 0.2500
0.7500 0.7500 0.7500

---

Record 13
ScRuPb2 | Alexandria via LeMat-Bulk | PBE | optimized geometry; ΔH_f (0 K) = 0.18 eV per atom; energy above the lowest structure with this stoichiometry = 301 meV per atom
1.0
0.0000 3.5377 3.5377
3.5377 0.0000 3.5377
3.5377 3.5377 0.0000
Sc Ru Pb
1 1 2
Direct
0.0000 0.0000 0.0000
0.2500 0.2500 0.2500
0.5000 0.5000 0.5000
0.7500 0.7500 0.7500

---

Record 14
ScSCl2O | Alexandria via LeMat-Bulk | PBE | optimized geometry; formation energy without anion corrections = -0.13 eV per atom; energy above the lowest structure with this stoichiometry = 387 meV per atom
1.0
4.4906 0.0000 0.0000
0.0000 4.4906 0.0000
0.0000 0.0000 4.2655
Sc S Cl O
1 1 2 1
Direct
0.0000 0.0000 0.0000
0.5000 0.5000 0.0000
0.0000 0.5000 0.5000
0.5000 0.0000 0.5000
0.5000 0.5000 0.5000

---

Record 15
Na2Bi2Ir | Alexandria via LeMat-Bulk | PBE | optimized geometry; ΔH_f (0 K) = -0.06 eV per atom
1.0
7.1303 0.0000 0.0000
0.0000 7.1303 0.0000
0.0000 0.0000 5.3304
Na Bi Ir
4 4 2
Direct
0.1742 0.3258 0.0000
0.3258 0.8258 0.0000
0.6742 0.1742 0.0000
0.8258 0.6742 0.0000
0.1510 0.6510 0.5000
0.3490 0.1510 0.5000
0.6510 0.8490 0.5000
0.8490 0.3490 0.5000
0.0000 0.0000 0.5000
0.5000 0.5000 0.5000

---

Record 16
AgPdPt3 | Alexandria via LeMat-Bulk | PBE | optimized geometry; ΔH_f (0 K) = 1.64 eV per atom; energy above the lowest structure with this stoichiometry = 1588 meV per atom
1.0
4.8419 0.0000 0.0000
0.0000 4.8419 0.0000
0.0000 0.0000 4.8419
Ag Pd Pt
1 1 3
Direct
0.0000 0.0000 0.0000
0.5000 0.5000 0.5000
0.0000 0.0000 0.5000
0.0000 0.5000 0.0000
0.5000 0.0000 0.0000

---

Record 17
Ba2GaB | Alexandria via LeMat-Bulk | PBE | optimized geometry; ΔH_f (0 K) = 0.12 eV per atom; energy above the lowest structure with this stoichiometry = 0 meV per atom
1.0
-6.0182 6.0182 1.9826
6.0182 -6.0182 1.9826
6.0182 6.0182 -1.9826
Ba Ga B
4 2 2
Direct
0.3750 0.0673 0.1923
0.8173 0.6250 0.6923
0.8750 0.1827 0.8077
0.9327 0.1250 0.3077
0.2500 0.7500 0.5000
0.5000 0.5000 0.0000
0.0000 0.0000 0.0000
0.7500 0.2500 0.5000

---

Record 18
SnHg2Bi2 | Alexandria via LeMat-Bulk | PBE | optimized geometry; ΔH_f (0 K) = 0.08 eV per atom; energy above the lowest structure with this stoichiometry = 0 meV per atom
1.0
3.3552 0.0000 0.0000
0.8945 5.6108 0.0000
0.5043 2.2493 7.8236
Sn Hg Bi
1 2 2
Direct
0.0000 0.0000 0.0000
0.2403 0.2048 0.6050
0.7597 0.7952 0.3950
0.3331 0.3863 0.1989
0.6669 0.6137 0.8011

---

Record 19
LaAlZn2Ni | Alexandria via LeMat-Bulk | PBE | optimized geometry; ΔH_f (0 K) = -0.35 eV per atom; energy above the lowest structure with this stoichiometry = 49 meV per atom
1.0
4.6537 0.0000 0.0000
0.0000 4.6537 0.0000
0.0000 0.0000 4.5503
La Al Zn Ni
1 1 2 1
Direct
0.0000 0.0000 0.0000
0.5000 0.5000 0.0000
0.0000 0.5000 0.5000
0.5000 0.0000 0.5000
0.5000 0.5000 0.5000

---

Record 20
HgMo2Pt | Alexandria via LeMat-Bulk | PBE | optimized geometry; ΔH_f (0 K) = 0.15 eV per atom; energy above the lowest structure with this stoichiometry = 0 meV per atom
1.0
2.7839 0.0000 0.0000
0.0000 2.7839 0.0000
0.0000 0.0000 8.7768
Hg Mo Pt
1 2 1
Direct
0.0000 0.0000 0.0000
0.0000 0.0000 0.5186
0.5000 0.5000 0.2672
0.5000 0.5000 0.7333